Version 1
MnAsI2: optimized geometry, PBE.

Structure (POSCAR):
```
MnAsI2
1.0
7.866 0.000 0.000
0.000 7.866 0.000
3.933 3.933 5.443
Mn As I
2 2 4
Cartesian
3.933 7.866 2.722 Mn
3.933 3.933 0.000 Mn
7.866 3.933 2.722 As
0.000 0.000 0.000 As
5.900 6.586 4.082 I
5.214 1.967 1.361 I
9.833 9.147 4.082 I
2.652 5.900 1.361 I
```

Summary:
M_tot (μB/cell): 4.0
SG: No. 122
Calculated volume (Å³/atom): 42.1

Version 2
MnAsI2: optimized geometry, PBE.

Structure (POSCAR):
```
MnAsI2
1.0
-2.314 -3.239 3.021
-4.772 -1.225 -0.835
-1.153 -4.573 -1.653
As I Mn
1 2 1
Cartesian
-4.120 -4.518 0.267 As
-2.060 -2.259 0.133 I
-6.180 -6.778 0.400 I
0.000 0.000 0.000 Mn
```

Summary:
M_tot (μB/cell): 0.0
SG: No. 225
Calculated volume (Å³/atom): 22.1

Which structure is most stable? version 1, by 735 meV per atom over the runner-up.